#i
Material: NiTePt2
Method: DFT, SCAN
State: PBEsol geometry

extended XYZ file:
```
4
Lattice="4.0155 -1.7995 0.0000 4.0155 1.7995 0.0000 -1.4846 0.0000 4.4472" Properties=species:S:1:pos:R:3 pbc="T T T"
Ni 0.0000 0.0000 0.0000
Te 5.6636 0.0000 1.0019
Pt 0.8947 0.0000 3.5084
Pt 3.2788 0.0000 2.2525
```

Output
- Calculated density: 14.9 g/cm3
- Size of the total moment: 0.0 μB/cell
- SG: Cm (8)
- Volume: 16.067 A^3/atom

***

#ii
Material: NiTePt2
Method: DFT, SCAN
State: PBEsol geometry

extended XYZ file:
```
4
Lattice="-1.9497 1.9497 4.0913 1.9497 -1.9497 4.0913 1.9497 1.9497 -4.0913" Properties=species:S:1:pos:R:3 pbc="T T T"
Ni 0.0000 0.0000 0.0000
Te 0.0000 0.0000 4.0913
Pt 1.9497 0.0000 2.0456
Pt 0.0000 1.9497 2.0456
```

Output
- Calculated density: 15.4 g/cm3
- Size of the total moment: 0.0 μB/cell
- SG: I4/mmm (139)
- Volume: 15.552 A^3/atom

***

#i (0.008 eV/atom below the next structure)